## Dy3HoAs4 (PBE)

Data for a relaxed structure of Dy3HoAs4.

Values from the calculation:
Formation energy in kJ/mol of atoms: -148
Total magnetization in μB/f.u.: 0.00
E above lowest polymorph in meV per atom: 0

Unit cell a=5.8144 b=5.8144 c=5.8144 alpha=90.00 beta=90.00 gamma=90.00
With the nearest neighbours (Å) after each atom.
Space group Pm-3m (No. 221)
Inequivalent atoms, fractional coordinates:
Dy 0.0000 0.0000 0.5000 (multiplicity 3)  6 As 2.91
Ho 0.5000 0.5000 0.5000 (multiplicity 1)  6 As 2.91
As 0.0000 0.0000 0.0000 (multiplicity 1)  6 Dy 2.91
As 0.0000 0.5000 0.5000 (multiplicity 3)  4 Dy 2.91, 2 Ho 2.91

## DyHo3As4 (PBE)

Data for a relaxed structure of DyHo3As4.

Values from the calculation:
Formation energy in kJ/mol of atoms: -148
Total magnetization in μB/f.u.: 0.00
E above lowest polymorph in meV per atom: 0

Unit cell a=5.8011 b=5.8011 c=5.8011 alpha=90.00 beta=90.00 gamma=90.00
With the nearest neighbours (Å) after each atom.
Space group Pm-3m (No. 221)
Inequivalent atoms, fractional coordinates:
Dy 0.0000 0.0000 0.0000 (multiplicity 1)  6 As 2.90
Ho 0.0000 0.5000 0.5000 (multiplicity 3)  6 As 2.90
As 0.0000 0.0000 0.5000 (multiplicity 3)  4 Ho 2.90, 2 Dy 2.90
As 0.5000 0.5000 0.5000 (multiplicity 1)  6 Ho 2.90

Please write out number 1 again, unchanged.
## Dy3HoAs4 (PBE)

Data for a relaxed structure of Dy3HoAs4.

Values from the calculation:
Formation energy in kJ/mol of atoms: -148
Total magnetization in μB/f.u.: 0.00
E above lowest polymorph in meV per atom: 0

Unit cell a=5.8144 b=5.8144 c=5.8144 alpha=90.00 beta=90.00 gamma=90.00
With the nearest neighbours (Å) after each atom.
Space group Pm-3m (No. 221)
Inequivalent atoms, fractional coordinates:
Dy 0.0000 0.0000 0.5000 (multiplicity 3)  6 As 2.91
Ho 0.5000 0.5000 0.5000 (multiplicity 1)  6 As 2.91
As 0.0000 0.0000 0.0000 (multiplicity 1)  6 Dy 2.91
As 0.0000 0.5000 0.5000 (multiplicity 3)  4 Dy 2.91, 2 Ho 2.91

What is the formation energy in the first record? -148 kJ/mol of atoms